No. 1
ZrSbRh2 | GGA-PBE | relaxed

a = 4.4735 Å, b = 3.3741 Å, c = 5.1268 Å
α = 71.00°, β = 90.00°, γ = 90.00°
Closest atoms and distances in Å follow each position.
Fractional coordinates of all 4 atoms:
Rh (0.0000, 0.2125, 0.9493)  3 Sb 2.66-2.77, 2 Rh 2.82, 4 Zr 2.84-2.85
Rh (0.5000, 0.0361, 0.3043)  3 Zr 2.62-2.79, 2 Rh 2.82, 4 Sb 2.84
Sb (0.0000, 0.4885, 0.4009)  7 Rh 2.66-2.84
Zr (0.5000, 0.7629, 0.8455)  7 Rh 2.62-2.85

energy relative to the elements, uncorrected: -0.575 eV/atom
V: 18.29 Å³ per atom
symmetry: No. 6

---

No. 2
Zr3SbRh | GGA-PBE | relaxed

a = 5.0220 Å, b = 5.0220 Å, c = 5.0220 Å
α = 90.00°, β = 90.00°, γ = 90.00°
Closest atoms and distances in Å follow each position.
Fractional coordinates of all 5 atoms:
Sb (0.5000, 0.5000, 0.5000)  12 Zr 3.55
Rh (0.0000, 0.0000, 0.0000)  6 Zr 2.51
Zr (0.0000, 0.5000, 0.0000)  2 Rh 2.51
Zr (0.0000, 0.0000, 0.5000)  2 Rh 2.51
Zr (0.5000, 0.0000, 0.0000)  2 Rh 2.51

energy relative to the elements, uncorrected: -0.054 eV/atom
excess energy over the best structure of this formula in the dataset: 0 meV/atom
V: 25.33 Å³ per atom
symmetry: No. 221

---

No. 3
ZrSbRh2 | GGA-PBE | relaxed

a = 5.2113 Å, b = 5.2113 Å, c = 5.2113 Å
α = 134.74°, β = 134.69°, γ = 65.98°
Closest atoms and distances in Å follow each position.
Fractional coordinates of all 4 atoms:
Rh (0.0001, 0.0001, 0.0000)  4 Sb 2.84, 4 Rh 2.97, 4 Zr 2.97
Rh (0.2501, 0.7501, 0.5000)  4 Zr 2.84, 4 Sb 2.96-2.97, 4 Rh 2.97
Sb (0.4999, 0.4999, 0.0000)  8 Rh 2.84-2.97, 4 Zr 2.97
Zr (0.7500, 0.2500, 0.5000)  8 Rh 2.84-2.97, 4 Sb 2.97

energy relative to the elements, uncorrected: -0.598 eV/atom
V: 17.60 Å³ per atom
symmetry: No. 119

---

In states/eV per atom, the N(E_F) values for the records above are, in order, 0.923 0.472 0.766.